[1]
DFT (PBE) results for an optimized crystal structure of Na2LiAu3.

space group: C2/m (12)
energy relative to the elements: -0.431 eV per atom

Cell lengths 5.4599, 5.4599, 5.4417 Å; angles 118.28, 118.28, 62.72 degrees
Last column: nearest neighbours and their distance in Å.
Atoms (fractional coordinates):
Na: 0.1220 0.1220 0.3779  9 Au 3.20-3.26, 4 Na 3.21-3.47, 3 Li 3.26-3.32
Na: 0.8780 0.8780 0.6221  9 Au 3.20-3.26, 4 Na 3.21-3.47, 3 Li 3.26-3.32
Li: 0.5000 0.5000 0.0000  6 Au 2.72-2.73
Au: 0.0000 0.5000 0.0000  2 Li 2.73, 4 Au 2.80-2.84
Au: 0.5000 0.0000 0.0000  2 Li 2.73, 4 Au 2.80-2.84
Au: 0.5000 0.5000 0.5000  2 Li 2.72, 4 Au 2.80

---

[2]
DFT (PBE) results for an optimized crystal structure of NaLiAu2.

polymorph energy (0 for the lowest one): 0.261 eV/atom
space group: I4_1/amd (141)
energy relative to the elements: -0.135 eV per atom

Cell lengths 9.2805, 9.2805, 9.2805 Å; angles 147.03, 147.03, 47.31 degrees
Last column: nearest neighbours and their distance in Å.
Atoms (fractional coordinates):
Na: 0.3750 0.6250 0.7500  8 Au 3.63, 4 Li 3.72
Na: 0.6250 0.3750 0.2500  8 Au 3.63, 4 Li 3.72
Li: 0.1250 0.8750 0.2500  4 Au 2.50
Li: 0.8750 0.1250 0.7500  4 Au 2.50
Au: 0.0000 0.0000 0.0000  2 Li 2.50, 2 Au 2.63
Au: 0.0000 0.0000 0.5000  2 Li 2.50, 2 Au 2.63
Au: 0.0000 0.5000 0.0000  2 Li 2.50, 2 Au 2.63
Au: 0.5000 0.0000 0.5000  2 Li 2.50, 2 Au 2.63

---

[3]
DFT (PBE) results for an optimized crystal structure of Na3LiAu.

polymorph energy (0 for the lowest one): 0.000 eV/atom
space group: Pm-3m (221)
energy relative to the elements: 0.003 eV per atom

Cell lengths 5.6177, 5.6177, 5.6177 Å; angles 90.00, 90.00, 90.00 degrees
Last column: nearest neighbours and their distance in Å.
Atoms (fractional coordinates):
Na: 0.0000 0.0000 0.5000  2 Au 2.81
Na: 0.0000 0.5000 0.0000  2 Au 2.81
Na: 0.5000 0.0000 0.0000  2 Au 2.81
Li: 0.5000 0.5000 0.5000  12 Na 3.97
Au: 0.0000 0.0000 0.0000  6 Na 2.81

---

[4]
DFT (PBE) results for an optimized crystal structure of NaLiAu2.

polymorph energy (0 for the lowest one): 0.028 eV/atom
space group: Pmmn (59)
energy relative to the elements: -0.368 eV per atom

Cell lengths 4.9390, 5.6654, 5.2811 Å; angles 90.00, 90.00, 90.00 degrees
Last column: nearest neighbours and their distance in Å.
Atoms (fractional coordinates):
Na: 0.2500 0.2500 0.1656  4 Li 2.84-3.18, 8 Au 2.96-3.03
Na: 0.7500 0.7500 0.8344  4 Li 2.84-3.18, 8 Au 2.96-3.03
Li: 0.2500 0.7500 0.2132  6 Au 2.82-2.91, 2 Na 2.84
Li: 0.7500 0.2500 0.7868  6 Au 2.82-2.91, 2 Na 2.84
Au: 0.2500 0.0009 0.6739  3 Li 2.82-2.91, 4 Au 2.82-3.08, 4 Na 2.96-3.03
Au: 0.2500 0.4991 0.6739  3 Li 2.82-2.91, 4 Au 2.82-3.08, 4 Na 2.96-3.03
Au: 0.7500 0.5009 0.3261  3 Li 2.82-2.91, 4 Au 2.82-3.08, 4 Na 2.96-3.03
Au: 0.7500 0.9991 0.3261  3 Li 2.82-2.91, 4 Au 2.82-3.08, 4 Na 2.96-3.03

---

[5]
DFT (PBE) results for an optimized crystal structure of NaLiNdAu.

space group: F-43m (216)
energy relative to the elements: -0.228 eV per atom

Cell lengths 5.1248, 5.1248, 5.1248 Å; angles 60.00, 60.00, 60.00 degrees
Last column: nearest neighbours and their distance in Å.
Atoms (fractional coordinates):
Na: 0.0000 0.0000 0.0000  4 Au 3.14, 4 Li 3.14
Li: 0.2500 0.2500 0.2500  4 Na 3.14, 4 Nd 3.14
Nd: 0.5000 0.5000 0.5000  4 Li 3.14, 4 Au 3.14
Au: 0.7500 0.7500 0.7500  4 Na 3.14, 4 Nd 3.14

---

[6]
DFT (PBE) results for an optimized crystal structure of NaLiNi2Au.

space group: P4/mmm (123)
energy relative to the elements: 0.510 eV per atom

Cell lengths 4.8167, 4.8167, 4.7277 Å; angles 90.00, 90.00, 90.00 degrees
Last column: nearest neighbours and their distance in Å.
Atoms (fractional coordinates):
Na: 0.0000 0.0000 0.0000  8 Ni 3.37, 4 Li 3.41
Li: 0.5000 0.5000 0.0000  2 Au 2.36
Ni: 0.0000 0.5000 0.5000  2 Au 2.41
Ni: 0.5000 0.0000 0.5000  2 Au 2.41
Au: 0.5000 0.5000 0.5000  2 Li 2.36, 4 Ni 2.41

---

[7]
DFT (PBE) results for an optimized crystal structure of Na2Li2AuO4.

formation energy without anion corrections: -24.93 kcal/mol of atoms
space group: C2/m (12)

Cell lengths 6.0269, 6.0269, 5.9912 Å; angles 115.14, 115.14, 32.51 degrees
Last column: nearest neighbours and their distance in Å.
Atoms (fractional coordinates):
Na: 0.1474 0.1474 0.0365  5 O 2.49-2.56, 1 Li 2.68
Na: 0.8526 0.8526 0.9635  5 O 2.49-2.56, 1 Li 2.68
Li: 0.3239 0.3239 0.5149  4 O 1.90-1.99
Li: 0.6761 0.6761 0.4851  4 O 1.90-1.99
Au: 0.0000 0.0000 0.5000  6 O 2.09-2.21
O: 0.2012 0.2012 0.6657  3 Li 1.96-1.99, 1 Au 2.09
O: 0.4979 0.4979 0.2599  1 Li 1.90
O: 0.5021 0.5021 0.7401  1 Li 1.90
O: 0.7988 0.7988 0.3343  3 Li 1.96-1.99, 1 Au 2.09

---

[8]
DFT (PBE) results for an optimized crystal structure of NaLi2AuO.

formation energy without anion corrections: -23.89 kcal/mol of atoms
space group: P4/mmm (123)

Cell lengths 4.0341, 4.0341, 4.6509 Å; angles 90.00, 90.00, 90.00 degrees
Last column: nearest neighbours and their distance in Å.
Atoms (fractional coordinates):
Na: 0.0000 0.0000 0.0000  2 O 2.33
Li: 0.0000 0.5000 0.5000  2 O 2.02
Li: 0.5000 0.0000 0.5000  2 O 2.02
Au: 0.5000 0.5000 0.0000  4 Na 2.85, 8 Li 3.08
O: 0.0000 0.0000 0.5000  4 Li 2.02

---

Total magnetization / Bohr magnetons per cell: 0.00, 0.00, 0.00, 0.00, 0.00, 0.96, 0.00, 0.00
Final energy / eV per cell: -16.968, -20.654, -9.133, -22.518, -12.191, -15.521, -39.307, -18.561